<A>
Material: AlHN2F
Method: DFT, PBE
State: optimized geometry

Computed properties:
spin magnetization = 3.0 μB per formula unit

Cell: 3.8567 3.8567 3.4520 Å, 90.00 90.00 90.00°
Last column: nearest neighbours and their distance in Å.
Space group P4/mmm (No. 123)
One atom of each set of equivalent atoms:
Al  0.0000  0.0000  0.0000 x1  2 H 1.73, 4 N 1.93
H  0.0000  0.0000  0.5000 x1  2 Al 1.73
N  0.0000  0.5000  0.0000 x2  2 Al 1.93
F  0.5000  0.5000  0.5000 x1  8 N 2.59, 4 H 2.73

<B>
Material: AlHN2F
Method: DFT, PBE
State: optimized geometry

Computed properties:
spin magnetization = 0.0 μB per formula unit

Cell: 3.0549 3.0549 3.8921 Å, 90.00 90.00 90.00°
Last column: nearest neighbours and their distance in Å.
Space group P4/mmm (No. 123)
One atom of each set of equivalent atoms:
Al  0.0000  0.0000  0.0000 x1  4 F 2.16
H  0.5000  0.5000  0.5000 x1  4 N 1.53
N  0.0000  0.5000  0.5000 x2  2 H 1.53
F  0.5000  0.5000  0.0000 x1  2 H 1.95, 4 Al 2.16

<C>
Material: AlHN2F
Method: DFT, PBE
State: optimized geometry

Computed properties:
spin magnetization = 2.9 μB per formula unit

Cell: 3.9452 3.9452 3.6618 Å, 90.00 90.00 90.00°
Last column: nearest neighbours and their distance in Å.
Space group P4/mmm (No. 123)
One atom of each set of equivalent atoms:
Al  0.0000  0.0000  0.0000 x1  2 F 1.83, 4 N 1.97
H  0.5000  0.5000  0.5000 x1  8 N 2.69, 4 F 2.79
N  0.0000  0.5000  0.0000 x2  2 Al 1.97
F  0.0000  0.0000  0.5000 x1  2 Al 1.83

The most stable arrangement is <C>, and the next structure is 255 meV/atom less stable.

<A>
Material: HfAlF2
Method: DFT, PBE
State: optimized geometry

Computed properties:
spin magnetization = 0.0 μB per formula unit

Cell: 4.8183 4.8183 10.5060 Å, 90.00 90.00 90.00°
Last column: nearest neighbours and their distance in Å.
Space group I-42d (No. 122)
One atom of each set of equivalent atoms:
Hf  0.0000  0.0000  0.0000 x4  4 F 2.41
Al  0.0000  0.0000  0.5000 x4  4 F 1.95
F  0.1636  0.2500  0.6250 x8  2 Al 1.95

<B>
Material: HfAlF2
Method: DFT, PBE
State: optimized geometry

Computed properties:
spin magnetization = 0.6 μB per formula unit

Cell: 3.6707 3.6707 15.4329 Å, 90.00 90.00 120.00°
Last column: nearest neighbours and their distance in Å.
Space group R-3m (No. 166, hexagonal axes)
One atom of each set of equivalent atoms:
Hf  0.0000  0.0000  0.0000 x3  2 F 2.15
Al  0.0000  0.0000  0.5000 x3  6 F 2.16
F  0.0000  0.0000  0.1394 x6  1 Hf 2.15, 3 Al 2.16, 3 F 2.28

<C>
Material: HfAlF2
Method: DFT, PBE
State: optimized geometry

Computed properties:
spin magnetization = 1.1 μB per formula unit

Cell: 6.1336 6.1336 6.1336 Å, 90.00 90.00 90.00°
Last column: nearest neighbours and their distance in Å.
Space group Fm-3m (No. 225)
One atom of each set of equivalent atoms:
Hf  0.0000  0.0000  0.0000 x4  8 F 2.66
Al  0.0000  0.0000  0.5000 x4  8 F 2.66
F  0.2500  0.2500  0.2500 x8  4 Hf 2.66, 4 Al 2.66

The most stable arrangement is <B>, and the next structure is 343 meV/atom less stable.

<A>
Material: HfAlN2F
Method: DFT, PBE
State: optimized geometry

Computed properties:
spin magnetization = 0.0 μB per formula unit

Cell: 3.8507 3.8507 3.4171 Å, 90.00 90.00 90.00°
Last column: nearest neighbours and their distance in Å.
Space group P4/mmm (No. 123)
One atom of each set of equivalent atoms:
Hf  0.0000  0.0000  0.0000 x1  8 N 2.57, 4 F 2.72
Al  0.5000  0.5000  0.5000 x1  2 F 1.71
N  0.0000  0.5000  0.5000 x2  2 Al 1.93
F  0.5000  0.5000  0.0000 x1  2 Al 1.71

<B>
Material: HfAlN2F
Method: DFT, PBE
State: optimized geometry

Computed properties:
spin magnetization = 0.0 μB per formula unit

Cell: 4.2314 4.2314 4.0090 Å, 90.00 90.00 90.00°
Last column: nearest neighbours and their distance in Å.
Space group P4/mmm (No. 123)
One atom of each set of equivalent atoms:
Hf  0.0000  0.0000  0.0000 x1  2 F 2.00, 4 N 2.12
Al  0.5000  0.5000  0.5000 x1  8 N 2.91, 4 F 2.99
N  0.0000  0.5000  0.0000 x2  2 Hf 2.12
F  0.0000  0.0000  0.5000 x1  2 Hf 2.00

The most stable arrangement is <A>, and the next structure is 574 meV/atom less stable.

<A>
Material: HfTaAlF2
Method: DFT, PBE
State: optimized geometry

Computed properties:
spin magnetization = 0.0 μB per formula unit

Cell: 3.7584 3.7584 6.2912 Å, 90.00 90.00 90.00°
Last column: nearest neighbours and their distance in Å.
Space group P4/mmm (No. 123)
One atom of each set of equivalent atoms:
Hf  0.0000  0.0000  0.0000 x1  4 Ta 2.66
Ta  0.5000  0.5000  0.0000 x1  4 Hf 2.66
Al  0.5000  0.5000  0.5000 x1  4 F 1.88
F  0.0000  0.5000  0.5000 x2  2 Al 1.88

<B>
Material: HfTaAlF2
Method: DFT, PBE
State: optimized geometry

Computed properties:
spin magnetization = 0.5 μB per formula unit

Cell: 3.9910 3.9910 6.1272 Å, 90.00 90.00 90.00°
Last column: nearest neighbours and their distance in Å.
Space group P4/mmm (No. 123)
One atom of each set of equivalent atoms:
Hf  0.0000  0.0000  0.0000 x1  4 F 2.00
Ta  0.0000  0.0000  0.5000 x1  4 Al 2.82, 2 Hf 3.06
Al  0.5000  0.5000  0.5000 x1  4 Ta 2.82
F  0.0000  0.5000  0.0000 x2  2 Hf 2.00

The most stable arrangement is <B>, and the next structure is 403 meV/atom less stable.

<A>
Material: HfAlTeF2
Method: DFT, PBE
State: optimized geometry

Computed properties:
spin magnetization = 1.0 μB per formula unit

Cell: 4.2466 4.2466 5.7417 Å, 90.00 90.00 90.00°
Last column: nearest neighbours and their distance in Å.
Space group P4/mmm (No. 123)
One atom of each set of equivalent atoms:
Hf  0.0000  0.0000  0.0000 x1  4 F 2.12
Al  0.5000  0.5000  0.5000 x1  4 Te 3.00
Te  0.0000  0.0000  0.5000 x1  2 Hf 2.87, 4 Al 3.00
F  0.0000  0.5000  0.0000 x2  2 Hf 2.12

<B>
Material: HfAlTeF2
Method: DFT, PBE
State: optimized geometry

Computed properties:
spin magnetization = 0.8 μB per formula unit

Cell: 4.3186 4.3186 5.9278 Å, 90.00 90.00 90.00°
Last column: nearest neighbours and their distance in Å.
Space group P4/mmm (No. 123)
One atom of each set of equivalent atoms:
Hf  0.0000  0.0000  0.0000 x1  4 Al 3.05
Al  0.5000  0.5000  0.0000 x1  2 Te 2.96, 4 Hf 3.05
Te  0.5000  0.5000  0.5000 x1  4 F 2.16
F  0.0000  0.5000  0.5000 x2  2 Te 2.16

The most stable arrangement is <A>, and the next structure is 1355 meV/atom less stable.

<A>
Material: AlHgF3
Method: DFT, PBE
State: optimized geometry

Computed properties:
spin magnetization = 0.0 μB per formula unit

Cell: 4.5762 4.5762 4.5762 Å, 90.00 90.00 90.00°
Last column: nearest neighbours and their distance in Å.
Space group Pm-3m (No. 221)
One atom of each set of equivalent atoms:
Al  0.0000  0.0000  0.0000 x1  12 F 3.24
Hg  0.5000  0.5000  0.5000 x1  6 F 2.29
F  0.0000  0.5000  0.5000 x3  2 Hg 2.29

<B>
Material: AlHgF3
Method: DFT, PBE
State: optimized geometry

Computed properties:
spin magnetization = 0.0 μB per formula unit

Cell: 4.0063 4.0063 4.0063 Å, 90.00 90.00 90.00°
Last column: nearest neighbours and their distance in Å.
Space group Pm-3m (No. 221)
One atom of each set of equivalent atoms:
Al  0.0000  0.0000  0.0000 x1  6 F 2.00
Hg  0.5000  0.5000  0.5000 x1  12 F 2.83
F  0.0000  0.0000  0.5000 x3  2 Al 2.00

The most stable arrangement is <B>, and the next structure is 994 meV/atom less stable.

<A>
Material: AlHgF2
Method: DFT, PBE
State: optimized geometry

Computed properties:
spin magnetization = 0.2 μB per formula unit

Cell: 3.1015 3.1015 26.8010 Å, 90.00 90.00 120.00°
Last column: nearest neighbours and their distance in Å.
Space group R-3m (No. 166, hexagonal axes)
One atom of each set of equivalent atoms:
Al  0.0000  0.0000  0.0000 x3  2 F 1.69
Hg  0.0000  0.0000  0.5000 x3  6 Hg 3.10, 6 F 3.30
F  0.0000  0.0000  0.0631 x6  1 Al 1.69

<B>
Material: AlHgF2
Method: DFT, PBE
State: optimized geometry

Computed properties:
spin magnetization = 0.0 μB per formula unit

Cell: 8.6166 8.6166 8.6166 Å, 90.00 90.00 90.00°
Last column: nearest neighbours and their distance in Å.
Space group Fd-3m (No. 227, origin choice 2)
One atom of each set of equivalent atoms:
Al  0.1250  0.1250  0.1250 x8  4 F 1.87
Hg  0.1250  0.1250  0.6250 x8  12 F 3.57, 4 Hg 3.73, 4 Al 3.73
F  0.0000  0.0000  0.0000 x16  2 Al 1.87

The most stable arrangement is <B>, and the next structure is 194 meV/atom less stable.

<A>
Material: AlHgNF2
Method: DFT, PBE
State: optimized geometry

Computed properties:
spin magnetization = 0.0 μB per formula unit

Cell: 3.7134 3.7134 4.2025 Å, 90.00 90.00 90.00°
Last column: nearest neighbours and their distance in Å.
Space group P4/mmm (No. 123)
One atom of each set of equivalent atoms:
Al  0.0000  0.0000  0.0000 x1  4 F 1.86
Hg  0.5000  0.5000  0.5000 x1  4 N 2.63, 8 F 2.80
N  0.0000  0.0000  0.5000 x1  2 Al 2.10
F  0.0000  0.5000  0.0000 x2  2 Al 1.86

<B>
Material: AlHgNF2
Method: DFT, PBE
State: optimized geometry

Computed properties:
spin magnetization = 1.8 μB per formula unit

Cell: 4.7664 4.7664 4.1694 Å, 90.00 90.00 90.00°
Last column: nearest neighbours and their distance in Å.
Space group P4/mmm (No. 123)
One atom of each set of equivalent atoms:
Al  0.0000  0.0000  0.0000 x1  8 F 3.17, 4 N 3.37
Hg  0.5000  0.5000  0.5000 x1  2 N 2.08
N  0.5000  0.5000  0.0000 x1  2 Hg 2.08
F  0.0000  0.5000  0.5000 x2  2 Hg 2.38

The most stable arrangement is <A>, and the next structure is 1441 meV/atom less stable.

<A>
Material: AlHgN2F
Method: DFT, PBE
State: optimized geometry

Computed properties:
spin magnetization = 2.9 μB per formula unit

Cell: 4.2148 4.2148 4.8722 Å, 90.00 90.00 90.00°
Last column: nearest neighbours and their distance in Å.
Space group P4/mmm (No. 123)
One atom of each set of equivalent atoms:
Al  0.0000  0.0000  0.0000 x1  4 F 2.98, 8 N 3.22
Hg  0.5000  0.5000  0.5000 x1  4 N 2.11
N  0.0000  0.5000  0.5000 x2  2 Hg 2.11
F  0.5000  0.5000  0.0000 x1  2 Hg 2.44

<B>
Material: AlHgN2F
Method: DFT, PBE
State: optimized geometry

Computed properties:
spin magnetization = 1.3 μB per formula unit

Cell: 3.9526 3.9526 3.7128 Å, 90.00 90.00 90.00°
Last column: nearest neighbours and their distance in Å.
Space group P4/mmm (No. 123)
One atom of each set of equivalent atoms:
Al  0.0000  0.0000  0.0000 x1  2 F 1.86, 4 N 1.98
Hg  0.5000  0.5000  0.5000 x1  8 N 2.71, 4 F 2.79
N  0.0000  0.5000  0.0000 x2  2 Al 1.98
F  0.0000  0.0000  0.5000 x1  2 Al 1.86

The most stable arrangement is <B>, and the next structure is 1403 meV/atom less stable.

<A>
Material: ScAlHg2F
Method: DFT, PBE
State: optimized geometry

Computed properties:
spin magnetization = 0.0 μB per formula unit

Cell: 5.3493 5.3493 3.6637 Å, 90.00 90.00 90.00°
Last column: nearest neighbours and their distance in Å.
Space group P4/mmm (No. 123)
One atom of each set of equivalent atoms:
Sc  0.0000  0.0000  0.0000 x1  8 Hg 3.24
Al  0.5000  0.5000  0.0000 x1  2 F 1.83
Hg  0.0000  0.5000  0.5000 x2  2 F 2.67
F  0.5000  0.5000  0.5000 x1  2 Al 1.83

<B>
Material: ScAlHg2F
Method: DFT, PBE
State: optimized geometry

Computed properties:
spin magnetization = 0.0 μB per formula unit

Cell: 5.3344 5.3344 3.6317 Å, 90.00 90.00 90.00°
Last column: nearest neighbours and their distance in Å.
Space group P4/mmm (No. 123)
One atom of each set of equivalent atoms:
Sc  0.0000  0.0000  0.0000 x1  8 Hg 3.23
Al  0.5000  0.5000  0.5000 x1  2 F 1.82
Hg  0.0000  0.5000  0.5000 x2  2 Al 2.67
F  0.5000  0.5000  0.0000 x1  2 Al 1.82

The most stable arrangement is <B>, and the next structure is 194 meV/atom less stable.

<A>
Material: AlI2OF
Method: DFT, PBE
State: optimized geometry

Computed properties:
spin magnetization = 0.0 μB per formula unit

Cell: 5.1827 5.1827 3.9715 Å, 90.00 90.00 90.00°
Last column: nearest neighbours and their distance in Å.
Space group P4/mmm (No. 123)
One atom of each set of equivalent atoms:
Al  0.0000  0.0000  0.0000 x1  8 I 3.26
I  0.0000  0.5000  0.5000 x2  2 F 2.59
O  0.5000  0.5000  0.0000 x1  2 F 1.99
F  0.5000  0.5000  0.5000 x1  2 O 1.99

<B>
Material: AlI2OF
Method: DFT, PBE
State: optimized geometry

Computed properties:
spin magnetization = 0.7 μB per formula unit

Cell: 5.8818 5.8818 3.3127 Å, 90.00 90.00 90.00°
Last column: nearest neighbours and their distance in Å.
Space group P4/mmm (No. 123)
One atom of each set of equivalent atoms:
Al  0.0000  0.0000  0.0000 x1  2 O 1.66
I  0.0000  0.5000  0.0000 x2  2 Al 2.94
O  0.0000  0.0000  0.5000 x1  2 Al 1.66
F  0.5000  0.5000  0.5000 x1  2 F 3.31, 8 I 3.38

The most stable arrangement is <B>, and the next structure is 1405 meV/atom less stable.

<A>
Material: AlSbI2F
Method: DFT, PBE
State: optimized geometry

Computed properties:
spin magnetization = 0.0 μB per formula unit

Cell: 5.4137 5.4137 5.3820 Å, 90.00 90.00 90.00°
Last column: nearest neighbours and their distance in Å.
Space group P4/mmm (No. 123)
One atom of each set of equivalent atoms:
Al  0.0000  0.0000  0.0000 x1  2 Sb 2.69, 4 I 2.71
Sb  0.0000  0.0000  0.5000 x1  2 Al 2.69
I  0.0000  0.5000  0.0000 x2  2 Al 2.71
F  0.5000  0.5000  0.5000 x1  8 I 3.82, 4 Sb 3.83

<B>
Material: AlSbI2F
Method: DFT, PBE
State: optimized geometry

Computed properties:
spin magnetization = 0.0 μB per formula unit

Cell: 6.0830 6.0830 4.2316 Å, 90.00 90.00 90.00°
Last column: nearest neighbours and their distance in Å.
Space group P4/mmm (No. 123)
One atom of each set of equivalent atoms:
Al  0.0000  0.0000  0.0000 x1  8 I 3.71
Sb  0.5000  0.5000  0.0000 x1  2 F 2.12
I  0.0000  0.5000  0.5000 x2  2 F 3.04
F  0.5000  0.5000  0.5000 x1  2 Sb 2.12

The most stable arrangement is <B>, and the next structure is 206 meV/atom less stable.

<A>
Material: AlIn2F5
Method: DFT, PBE
State: optimized geometry

Computed properties:
spin magnetization = 0.0 μB per formula unit

Cell: 6.1560 6.1560 9.0304 Å, 90.00 90.00 90.00°
Last column: nearest neighbours and their distance in Å.
Space group I4mm (No. 107)
One atom of each set of equivalent atoms:
Al  0.0000  0.0000  0.0000 x2  5 F 1.72-1.80
In  0.0000  0.5000  0.2089 x4  4 F 2.63
F  0.0000  0.0000  0.8097 x2  1 Al 1.72
F  0.2001  0.2001  0.0523 x8  1 Al 1.80

<B>
Material: AlIn2F5
Method: DFT, PBE
State: optimized geometry

Computed properties:
spin magnetization = 0.0 μB per formula unit

Cell: 13.7655 5.3530 7.2774 Å, 90.00 95.31 90.00°
Last column: nearest neighbours and their distance in Å.
Space group C2/c (No. 15)
One atom of each set of equivalent atoms:
Al  0.0000  0.0000  0.0000 x4  6 F 1.81-1.90
In  0.1667  0.4815  0.3310 x8  3 F 2.38-2.58
F  0.0000  0.1022  0.2500 x4  2 Al 1.90
F  0.0644  0.2865  0.5701 x8  1 Al 1.82
F  0.1160  0.1563  0.9866 x8  1 Al 1.81

The most stable arrangement is <B>, and the next structure is 39 meV/atom less stable.